K2GaS | PBE | optimized geometry

Values from the calculation:
**Magnetization**: 0.249 μB per atom
**Crystal system**: tetragonal
**Uncorrected energy**: -39.42 eV per cell
**ΔE_f (raw)**: -0.13 eV/atom
**Calculated volume**: 556.8 Å³/cell

abc: 5.129 5.129 21.166
angles: 90.00 90.00 90.00
Space group I-42d (No. 122)
Asymmetric unit:
K 0.206 0.250 0.125 (multiplicity 8)
Ga 0.000 0.000 0.500 (multiplicity 4)
S 0.000 0.000 0.000 (multiplicity 4)